First-principles (PBE) data for crystalline TeAuBr2 at its relaxed geometry, as listed in Alexandria via LeMat-Bulk.

The calculation puts the magnetization at 0.000 μB/cell. The raw formation energy is 0.9 eV/f.u. The total DFT energy (no corrections) comes out at -8.9 eV per cell. The symmetry is R-3m (166).

Unit cell a=10.067 b=10.067 c=10.067 alpha=20.88 beta=20.88 gamma=20.88
Positions (direct):
Te1 0.000 0.000 0.000
Au1 0.500 0.500 0.500
Br1 0.417 0.417 0.417
Br2 0.583 0.583 0.583